[1]
Entry from the Alexandria database: a relaxed structure of Mn2TeMo (PBE).

a b c (Å): 4.6416 4.6416 4.6346
angles (deg): 100.96 100.96 40.62
Atoms (fractional coordinates):
Mn1 0.0000 0.0000 0.0000
Mn2 0.7488 0.7488 0.2281
Te1 0.5003 0.5003 0.4744
Mo1 0.2631 0.2631 0.7988

Summary:
The raw total energy comes out at -30.9 eV/cell. The value obtained for the density of states at the Fermi level is 0.772 states/eV/atom. The magnetic moment is 1.049 μB per atom. As for the raw formation energy: 351 meV per atom.

[2]
Entry from the Alexandria database: a relaxed structure of K2RbI (PBE).

a b c (Å): 9.3217 9.3217 9.3217
angles (deg): 99.59 99.59 131.83
Atoms (fractional coordinates):
K1 0.0182 0.6250 0.8932
K2 0.3750 0.2682 0.3932
K3 0.7318 0.1250 0.1068
K4 0.8750 0.9818 0.6068
Rb1 0.2500 0.7500 0.5000
Rb2 0.5000 0.5000 0.0000
I1 0.0000 0.0000 0.0000
I2 0.7500 0.2500 0.5000

Summary:
The raw total energy comes out at -14.3 eV/cell. The value obtained for the density of states at the Fermi level is 0.539 states/eV/atom. The magnetic moment is 0.000 μB per atom. As for the raw formation energy: -607 meV per atom. The energy above the lowest structure with this stoichiometry comes out at 7.2 kJ/mol of atoms.

[3]
Entry from the Alexandria database: a relaxed structure of PuUTi (PBE).

a b c (Å): 7.4627 7.4627 7.4627
angles (deg): 33.95 33.95 33.95
Atoms (fractional coordinates):
Pu1 0.2180 0.2180 0.2180
Pu2 0.7820 0.7820 0.7820
U1 0.0980 0.0980 0.0980
U2 0.9020 0.9020 0.9020
Ti1 0.3593 0.3593 0.3593
Ti2 0.6407 0.6407 0.6407

Summary:
The raw total energy comes out at -64.8 eV/cell. The value obtained for the density of states at the Fermi level is 2.230 states/eV/atom. The magnetic moment is 0.005 μB per atom. The energy above the lowest structure with this stoichiometry comes out at 31.4 kJ/mol of atoms.

[4]
Entry from the Alexandria database: a relaxed structure of Ca2InRh (PBE).

a b c (Å): 7.4669 7.4669 7.4669
angles (deg): 97.21 97.21 138.52
Atoms (fractional coordinates):
Ca1 0.3750 0.2292 0.3542
Ca2 0.7708 0.1250 0.1458
Ca3 0.8750 0.0208 0.6458
Ca4 0.9792 0.6250 0.8542
In1 0.2500 0.7500 0.5000
In2 0.5000 0.5000 0.0000
Rh1 0.0000 0.0000 0.0000
Rh2 0.7500 0.2500 0.5000

Summary:
The raw total energy comes out at -30.2 eV/cell. The value obtained for the density of states at the Fermi level is 0.387 states/eV/atom. The magnetic moment is 0.000 μB per atom.

[5]
Entry from the Alexandria database: a relaxed structure of NaSm2Pd9 (PBE).

a b c (Å): 4.1748 4.1748 12.1266
angles (deg): 90.00 90.00 90.00
Atoms (fractional coordinates):
Na1 0.0000 0.0000 0.0000
Sm1 0.0000 0.0000 0.3273
Sm2 0.0000 0.0000 0.6727
Pd1 0.0000 0.5000 0.1603
Pd2 0.0000 0.5000 0.5000
Pd3 0.0000 0.5000 0.8397
Pd4 0.5000 0.0000 0.1603
Pd5 0.5000 0.0000 0.5000
Pd6 0.5000 0.0000 0.8397
Pd7 0.5000 0.5000 0.0000
Pd8 0.5000 0.5000 0.3294
Pd9 0.5000 0.5000 0.6706

Summary:
The raw total energy comes out at -64.0 eV/cell. The value obtained for the density of states at the Fermi level is 0.814 states/eV/atom. The magnetic moment is 0.000 μB per atom.

[6]
Entry from the Alexandria database: a relaxed structure of FeSb (PBE).

a b c (Å): 3.1734 3.1734 3.1734
angles (deg): 90.00 90.00 90.00
Atoms (fractional coordinates):
Fe1 0.0000 0.0000 0.0000
Sb1 0.5000 0.5000 0.5000

Summary:
The raw total energy comes out at -11.8 eV/cell. The value obtained for the density of states at the Fermi level is 0.959 states/eV/atom. The magnetic moment is 0.497 μB per atom. As for the raw formation energy: 370 meV per atom.

[7]
Entry from the Alexandria database: a relaxed structure of AlAgAu4 (PBE).

a b c (Å): 5.4958 5.4958 5.4958
angles (deg): 60.00 60.00 60.00
Atoms (fractional coordinates):
Al1 0.0000 0.0000 0.0000
Ag1 0.2500 0.2500 0.2500
Au1 0.1252 0.6249 0.6249
Au2 0.6249 0.1252 0.6249
Au3 0.6249 0.6249 0.1252
Au4 0.6249 0.6249 0.6249

Summary:
The raw total energy comes out at -19.2 eV/cell. The value obtained for the density of states at the Fermi level is 0.453 states/eV/atom. The magnetic moment is 0.000 μB per atom. The energy above the lowest structure with this stoichiometry comes out at 23.1 kJ/mol of atoms.

[8]
Entry from the Alexandria database: a relaxed structure of KFeNi2 (PBE).

a b c (Å): 4.4831 4.4831 6.5436
angles (deg): 96.98 96.98 35.69
Atoms (fractional coordinates):
K1 0.0000 0.0000 0.0000
Fe1 0.7865 0.7865 0.3975
Ni1 0.2250 0.2250 0.6592
Ni2 0.5103 0.5103 0.4923

Summary:
The raw total energy comes out at -18.8 eV/cell. The value obtained for the density of states at the Fermi level is 1.133 states/eV/atom. The magnetic moment is 1.000 μB per atom. The energy above the lowest structure with this stoichiometry comes out at 13.8 kJ/mol of atoms.

[9]
Entry from the Alexandria database: a relaxed structure of Ta3SnB (PBE).

a b c (Å): 4.4066 4.4066 4.4066
angles (deg): 90.00 90.00 90.00
Atoms (fractional coordinates):
Ta1 0.0000 0.0000 0.5000
Ta2 0.0000 0.5000 0.0000
Ta3 0.5000 0.0000 0.0000
Sn1 0.5000 0.5000 0.5000
B1 0.0000 0.0000 0.0000

Summary:
The raw total energy comes out at -46.0 eV/cell. The value obtained for the density of states at the Fermi level is 1.798 states/eV/atom. The magnetic moment is 0.000 μB per atom. The energy above the lowest structure with this stoichiometry comes out at 0.0 kJ/mol of atoms.

[10]
Entry from the Alexandria database: a relaxed structure of Ac2PaGa (PBE).

a b c (Å): 3.7056 3.7056 9.2554
angles (deg): 90.00 90.00 90.00
Atoms (fractional coordinates):
Ac1 0.0000 0.0000 0.2283
Ac2 0.0000 0.0000 0.7717
Pa1 0.5000 0.5000 0.5000
Ga1 0.5000 0.5000 0.0000

Summary:
The raw total energy comes out at -20.4 eV/cell. The value obtained for the density of states at the Fermi level is 1.493 states/eV/atom. The magnetic moment is 0.093 μB per atom. The energy above the lowest structure with this stoichiometry comes out at 0.0 kJ/mol of atoms.

[11]
Entry from the Alexandria database: a relaxed structure of CaIrPd2 (PBE).

a b c (Å): 4.6237 4.6237 4.6237
angles (deg): 60.00 60.00 60.00
Atoms (fractional coordinates):
Ca1 0.0000 0.0000 0.0000
Ir1 0.5000 0.5000 0.5000
Pd1 0.2500 0.2500 0.2500
Pd2 0.7500 0.7500 0.7500

Summary:
The raw total energy comes out at -21.5 eV/cell. The value obtained for the density of states at the Fermi level is 1.642 states/eV/atom. The magnetic moment is 0.156 μB per atom. The energy above the lowest structure with this stoichiometry comes out at 0.0 kJ/mol of atoms.

[12]
Entry from the Alexandria database: a relaxed structure of NiB3Pt (PBE).

a b c (Å): 4.0691 4.0691 4.0691
angles (deg): 90.00 90.00 90.00
Atoms (fractional coordinates):
Ni1 0.0000 0.0000 0.0000
B1 0.0000 0.5000 0.5000
B2 0.5000 0.0000 0.5000
B3 0.5000 0.5000 0.0000
Pt1 0.5000 0.5000 0.5000

Summary:
The raw total energy comes out at -25.1 eV/cell. The value obtained for the density of states at the Fermi level is 0.618 states/eV/atom. The magnetic moment is 0.000 μB per atom. The energy above the lowest structure with this stoichiometry comes out at 29.1 kJ/mol of atoms.